# InGe2P2 (PBE, relaxed)
data_InGe2P2
_chemical_formula_sum 'In2 Ge4 P4'
_cell_length_a 7.568
_cell_length_b 7.568
_cell_length_c 3.403
_cell_angle_alpha 90.00
_cell_angle_beta 90.00
_cell_angle_gamma 90.00
_space_group_name_H-M_alt 'P 4/m b m'
_space_group_IT_number 127
_space_group_name_Hall '-P 4 2ab'
loop_
_atom_site_label
_atom_site_fract_x
_atom_site_fract_y
_atom_site_fract_z
In1 0.000 0.000 0.000
Ge1 0.139 0.361 0.500
P1 0.142 0.642 0.000
# - M_tot: 0.00 μB per atom
# - Mass density: 5.49 Mg/m³
# - Calculated formation energy: 0.32 eV/atom
# - Calculated total energy: -4.24 eV/atom
# - DOS(E_F): 4.043 states/eV per cell


# Ca3PmDy2Se6 (PBE, relaxed)
data_Ca3PmDy2Se6
_chemical_formula_sum 'Ca6 Pm2 Dy4 Se12'
_cell_length_a 7.157
_cell_length_b 12.381
_cell_length_c 7.270
_cell_angle_alpha 90.00
_cell_angle_beta 109.19
_cell_angle_gamma 90.00
_space_group_name_H-M_alt 'C 1 2/m 1'
_space_group_IT_number 12
loop_
_space_group_symop_operation_xyz
'x,y,z'
'-x,-y,-z'
'-x,y,-z'
'x,-y,z'
'x+1/2,y+1/2,z'
'-x+1/2,-y+1/2,-z'
'-x+1/2,y+1/2,-z'
'x+1/2,-y+1/2,z'
loop_
_atom_site_label
_atom_site_fract_x
_atom_site_fract_y
_atom_site_fract_z
Ca1 0.000 0.000 0.000
Ca2 0.000 0.335 0.000
Pm1 0.000 0.500 0.500
Dy1 0.000 0.167 0.500
Se1 0.242 0.000 0.748
Se2 0.247 0.170 0.251
# - M_tot: 0.00 μB per atom
# - Raw formation energy: -1883 meV/atom
# - Mass density: 5.81 Mg/m³
# - Calculated total energy: -5.29 eV/atom
# - DOS(E_F): 8.903 states/eV per cell


# SrP2Rh3 (PBE, relaxed)
data_SrP2Rh3
_chemical_formula_sum 'Sr6 P12 Rh18'
_cell_length_a 16.017
_cell_length_b 3.928
_cell_length_c 9.877
_cell_angle_alpha 90.00
_cell_angle_beta 107.57
_cell_angle_gamma 90.00
_space_group_name_H-M_alt 'C 1 2/m 1'
_space_group_IT_number 12
loop_
_space_group_symop_operation_xyz
'x,y,z'
'-x,-y,-z'
'-x,y,-z'
'x,-y,z'
'x+1/2,y+1/2,z'
'-x+1/2,-y+1/2,-z'
'-x+1/2,y+1/2,-z'
'x+1/2,-y+1/2,z'
loop_
_atom_site_label
_atom_site_fract_x
_atom_site_fract_y
_atom_site_fract_z
Sr1 0.000 0.000 0.000
Sr2 0.157 0.000 0.696
P1 0.036 0.500 0.775
P2 0.138 0.500 0.448
P3 0.197 0.000 0.130
Rh1 0.000 0.500 0.500
Rh2 0.041 0.000 0.326
Rh3 0.131 0.500 0.212
Rh4 0.179 0.500 0.962
Rh5 0.220 0.000 0.399
# - M_tot: 0.00 μB per atom
# - Mass density: 7.71 Mg/m³
# - Calculated formation energy: -0.84 eV/atom
# - Calculated total energy: -6.60 eV/atom
# - DOS(E_F): 14.686 states/eV per cell


# Ca2ZnRe (PBE, relaxed)
data_Ca2ZnRe
_chemical_formula_sum 'Ca8 Zn4 Re4'
_cell_length_a 4.113
_cell_length_b 4.113
_cell_length_c 20.505
_cell_angle_alpha 90.00
_cell_angle_beta 90.00
_cell_angle_gamma 90.00
_space_group_name_H-M_alt 'I -4 2 d'
_space_group_IT_number 122
_space_group_name_Hall 'I -4 2bw'
loop_
_atom_site_label
_atom_site_fract_x
_atom_site_fract_y
_atom_site_fract_z
Ca1 0.249 0.250 0.125
Zn1 0.000 0.000 0.500
Re1 0.000 0.000 0.000
# - M_tot: 0.00 μB per atom
# - Mass density: 6.35 Mg/m³
# - Calculated formation energy: 0.99 eV/atom
# - Calculated total energy: -3.44 eV/atom
# - DOS(E_F): 9.772 states/eV per cell


Which of these has the highest DOS(E_F)?
SrP2Rh3